DFT (PBE) results for a relaxed structure of Ho6TlIr.

Results
raw total energy: -0.18293 hartree per atom
formation enthalpy at 0 K: -0.141 eV/atom

```
Ho6TlIr
1.0
3.588 -5.632 0.000
3.588 5.632 0.000
-2.540 0.000 6.161
Ho Tl Ir
6 1 1
Direct
0.011 0.396 0.240 Ho
0.232 0.232 0.774 Ho
0.396 0.011 0.240 Ho
0.604 0.989 0.760 Ho
0.768 0.768 0.226 Ho
0.989 0.604 0.760 Ho
0.500 0.500 0.500 Tl
0.000 0.000 0.000 Ir
```


DFT (PBE) results for a relaxed structure of ReBiOs2.

Results
raw total energy: -0.30900 hartree per atom
formation enthalpy at 0 K: 1.289 eV/atom

```
ReBiOs2
1.0
-2.926 2.926 5.865
2.926 -2.926 5.865
2.926 2.926 -5.865
Re Bi Os
2 2 4
Direct
0.000 0.000 0.000 Re
0.750 0.250 0.500 Re
0.250 0.750 0.500 Bi
0.500 0.500 0.000 Bi
0.083 0.625 0.958 Os
0.375 0.333 0.458 Os
0.667 0.125 0.042 Os
0.875 0.917 0.542 Os
```


These records have M_tot values of 0.0, 0.0 Bohr magnetons per cell, in the order they appear.